Record 1
Density functional theory data (GGA+U) for crystalline MgCo2GeO6 at its relaxed geometry.

Summary:
- calculated density (g/cm³) = 5.52
- E (eV per atom) = -6.105

a b c (Å): 4.9258 4.9258 13.3558
angles (deg): 90.00 90.00 120.00
With the nearest neighbours (Å) after each atom.
Space group R3 (No. 146, hexagonal axes)
Asymmetric unit:
Mg (0.0000, 0.0000, 0.0000) x3  6 O 2.00-2.13
Co (0.0000, 0.0000, 0.2957) x3  6 O 1.96-1.97
Co (0.0000, 0.0000, 0.7972) x3  6 O 1.92-1.97
Ge (0.0000, 0.0000, 0.4939) x3  6 O 1.89-1.95
O (0.0189, 0.7163, 0.3956) x9  2 Co 1.92-1.97, 1 Ge 1.95, 1 Mg 2.00
O (0.0222, 0.3549, 0.5565) x9  1 Ge 1.89, 2 Co 1.96-1.97

Record 2
Density functional theory data (GGA+U) for crystalline MgCoGeO4 at its relaxed geometry.

Summary:
- calculated density (g/cm³) = 4.82
- E (eV per atom) = -6.266

a b c (Å): 5.9164 5.9217 8.6549
angles (deg): 90.00 90.00 90.00
With the nearest neighbours (Å) after each atom.
Space group Imma (No. 74)
Asymmetric unit:
Mg (0.0000, 0.2500, 0.1108) x4  4 O 1.98-2.03
Co (0.0000, 0.0000, 0.5000) x4  6 O 2.06-2.17
Ge (0.2500, 0.2500, 0.7500) x4  6 O 1.88-1.98
O (0.0000, 0.0268, 0.7503) x8  2 Ge 1.98, 1 Mg 2.03, 1 Co 2.17
O (0.2384, 0.2500, 0.5324) x8  1 Ge 1.88, 1 Mg 1.98, 2 Co 2.06

Record 3
Density functional theory data (GGA+U) for crystalline MgCoGe2O6 at its relaxed geometry.

Summary:
- calculated density (g/cm³) = 4.74
- E (eV per atom) = -6.349

a b c (Å): 9.7410 9.0616 5.2410
angles (deg): 90.00 100.70 90.00
With the nearest neighbours (Å) after each atom.
Space group C2/c (No. 15)
Asymmetric unit:
Mg (0.0000, 0.2321, 0.2500) x4  6 O 2.04-2.24
Co (0.0000, 0.4057, 0.7500) x4  6 O 2.07-2.18
Ge (0.1992, 0.0945, 0.7909) x8  4 O 1.73-1.83
O (0.1164, 0.2418, 0.6169) x8  1 Ge 1.73
O (0.1166, 0.4077, 0.1346) x8  1 Ge 1.76
O (0.1391, 0.0701, 0.0991) x8  2 Ge 1.83

> The highest E belongs to which entry?

MgCo2GeO6